# Pm3Np3UN8 PBE-GGA optimized geometry
data_Pm3Np3UN8
_space_group_name_H-M_alt 'P 1'
_space_group_IT_number 1
_cell_length_a 7.045
_cell_length_b 7.045
_cell_length_c 7.045
_cell_angle_alpha 59.48
_cell_angle_beta 59.48
_cell_angle_gamma 59.48
loop_
_space_group_symop_operation_xyz
'x,y,z'
loop_
_atom_site_label
_atom_site_fract_x
_atom_site_fract_y
_atom_site_fract_z
Pm1 0.000 0.500 0.500
Pm2 0.500 0.000 0.500
Pm3 0.500 0.500 0.000
Np1 0.000 0.000 0.500
Np2 0.000 0.500 0.000
Np3 0.500 0.000 0.000
U1 0.500 0.500 0.500
N1 0.242 0.242 0.242
N2 0.254 0.724 0.724
N3 0.276 0.276 0.746
N4 0.276 0.746 0.276
N5 0.724 0.254 0.724
N6 0.724 0.724 0.254
N7 0.746 0.276 0.276
N8 0.758 0.758 0.758
# uncorrected formation energy: -1.2131 eV/atom